No. 1
Material: PuSi2IrRu
Method: DFT, PBE
State: optimized geometry

Cell: 4.1116 4.1116 9.9641 Å, 90.00 90.00 90.00°
Last column: nearest neighbours and their distance in Å.
Space group I-4m2 (No. 119)
One atom of each set of equivalent atoms:
Pu: 0.0000 0.0000 0.0000  8 Si 3.17, 4 Ru 3.23, 4 Ir 3.23
Si: 0.0000 0.0000 0.3741  2 Ru 2.40, 2 Ir 2.40, 1 Si 2.51
Ir: 0.0000 0.5000 0.7500  4 Si 2.40
Ru: 0.0000 0.5000 0.2500  4 Si 2.40

Values from the calculation:
formation energy from raw total energies = -0.82 eV/atom

---

No. 2
Material: Mg2Sb
Method: DFT, PBE
State: optimized geometry

Cell: 11.2786 3.7083 7.6207 Å, 90.00 112.92 90.00°
Last column: nearest neighbours and their distance in Å.
Space group C2/m (No. 12)
One atom of each set of equivalent atoms:
Mg: 0.1451 0.0000 0.0294  4 Sb 3.12-3.17, 6 Mg 3.13-3.30
Mg: 0.1567 0.0000 0.6202  5 Sb 3.01-3.33, 4 Mg 3.17-3.30
Sb: 0.0562 0.5000 0.2835  9 Mg 3.01-3.33

Values from the calculation:
formation energy from raw total energies = -0.14 eV/atom

---

No. 3
Material: LiGeTe2
Method: DFT, PBE
State: optimized geometry

Cell: 3.9248 4.0808 6.6840 Å, 89.82 89.99 89.84°
Last column: nearest neighbours and their distance in Å.
Space group P1 (No. 1)
One atom of each set of equivalent atoms:
Li: 0.0000 0.0000 0.0000  5 Te 2.86-2.92
Ge: 0.5003 0.5022 0.4576  5 Te 2.63-2.94
Te: 0.0001 0.0066 0.5636  4 Ge 2.90-2.94, 1 Li 2.92
Te: 0.5000 0.4999 0.0640  1 Ge 2.63, 4 Li 2.86-2.87

Values from the calculation:
formation energy from raw total energies = -0.37 eV/atom